## RbInC (GGA-PBE)

Data for a geometry-optimized RbInC structure.

Values from the calculation:
space group: Amm2, No. 38
DOS at the Fermi energy: 0.182 states/eV/atom
magnetic moment: 0.00 μB/cell
ΔE_f: 0.86 eV/f.u.

Cell lengths 4.7843, 10.1078, 10.1078 Å; angles 158.15, 90.00, 90.00 degrees
Element x y z (fractional)
C 0.0000 0.6158 0.3842
C 0.0000 0.5523 0.4477
Rb 0.0000 0.9309 0.0691
Rb 0.5000 0.0977 0.9023
In 0.5000 0.3023 0.6977
In 0.0000 0.7294 0.2706

***

## RbInC (GGA-PBE)

Data for a geometry-optimized RbInC structure.

Values from the calculation:
space group: P2_1/c, No. 14
DOS at the Fermi energy: 0.008 states/eV/atom
magnetic moment: 0.00 μB/cell
ΔE_f: 2.45 eV/f.u.

Cell lengths 12.7054, 7.3709, 6.9079 Å; angles 90.00, 150.24, 90.00 degrees
Element x y z (fractional)
C 0.1883 0.8480 0.2715
C 0.8117 0.1520 0.7285
C 0.3117 0.3480 0.2285
C 0.6883 0.6520 0.7715
Rb 0.1792 0.5022 0.5628
Rb 0.8208 0.4978 0.4372
Rb 0.3208 0.0022 0.9372
Rb 0.6792 0.9978 0.0628
In 0.3565 0.6450 0.3690
In 0.6435 0.3550 0.6310
In 0.1435 0.1450 0.1310
In 0.8565 0.8550 0.8690

***

## Rb2InRuC (GGA-PBE)

Data for a geometry-optimized Rb2InRuC structure.

Values from the calculation:
space group: P4/mmm, No. 123
DOS at the Fermi energy: 0.896 states/eV/atom
magnetic moment: 0.00 μB/cell
ΔE_f: 4.71 eV/f.u.

Cell lengths 6.6639, 3.8008, 6.6639 Å; angles 90.00, 90.00, 90.00 degrees
Element x y z (fractional)
Ru 0.0000 0.0000 0.0000
C 0.0000 0.5000 0.0000
Rb 0.0000 0.0000 0.5000
Rb 0.5000 0.0000 0.0000
In 0.5000 0.5000 0.5000

***

## RbScInC2 (GGA-PBE)

Data for a geometry-optimized RbScInC2 structure.

Values from the calculation:
space group: P4/mmm, No. 123
DOS at the Fermi energy: 1.051 states/eV/atom
magnetic moment: 0.28 μB/cell
ΔE_f: 15.09 eV/f.u.

Cell lengths 4.7634, 5.0416, 4.7634 Å; angles 90.00, 90.00, 90.00 degrees
Element x y z (fractional)
Sc 0.0000 0.5000 0.0000
C 0.0000 0.0000 0.5000
C 0.5000 0.0000 0.0000
Rb 0.0000 0.0000 0.0000
In 0.5000 0.5000 0.5000

***

## RbInSiC2 (GGA-PBE)

Data for a geometry-optimized RbInSiC2 structure.

Values from the calculation:
space group: P4/mmm, No. 123
DOS at the Fermi energy: 1.136 states/eV/atom
magnetic moment: 2.81 μB/cell
raw formation energy: 3.249 eV per atom

Cell lengths 5.3949, 6.3800, 5.3949 Å; angles 90.00, 90.00, 90.00 degrees
Element x y z (fractional)
Si 0.0000 0.5000 0.0000
C 0.0000 0.0000 0.5000
C 0.5000 0.0000 0.0000
Rb 0.0000 0.0000 0.0000
In 0.5000 0.5000 0.5000

***

## In2ReC2 (GGA-PBE)

Data for a geometry-optimized In2ReC2 structure.

Values from the calculation:
space group: P4/mbm, No. 127
DOS at the Fermi energy: 0.563 states/eV/atom
magnetic moment: 0.00 μB/cell
energy relative to the lowest polymorph listed for this composition: 0.312 eV per atom
ΔE_f: 5.62 eV/f.u.

Cell lengths 5.8357, 5.8357, 4.7283 Å; angles 90.00, 90.00, 90.00 degrees
Element x y z (fractional)
Re 0.0000 0.0000 0.0000
Re 0.5000 0.5000 0.0000
C 0.2528 0.7528 0.0000
C 0.7528 0.7472 0.0000
C 0.7472 0.2472 0.0000
C 0.2472 0.2528 0.0000
In 0.1751 0.6751 0.5000
In 0.6751 0.8249 0.5000
In 0.8249 0.3249 0.5000
In 0.3249 0.1751 0.5000